[1]
Below is a relaxed structure of Ba2Sn3Ge, with properties calculated at the GGA-PBE level.

a b c (Å): 4.943 4.685 9.058
angles (deg): 90.00 90.00 90.00
Fractional positions:
Sn 0.500 0.000 0.175
Ba 0.000 0.500 0.007
Ba 0.000 0.000 0.489
Sn 0.500 0.000 0.839
Ge 0.500 0.500 0.339
Sn 0.500 0.500 0.651

## Properties
N(E_F)	2.308	states/eV/f.u.
relative energy among the computed polymorphs	0.000	eV/atom
space-group type	Pmm2
energy relative to the elements	-0.50	eV per atom

---

[2]
Below is a relaxed structure of TbPr2Rh, with properties calculated at the GGA-PBE level.

a b c (Å): 6.498 6.769 11.597
angles (deg): 89.99 90.00 90.00
Fractional positions:
Tb 0.250 0.073 0.750
Rh 0.000 0.250 0.591
Pr 0.757 0.910 0.913
Rh 0.500 0.250 0.909
Rh 0.500 0.750 0.091
Pr 0.757 0.410 0.087
Pr 0.743 0.910 0.587
Pr 0.243 0.090 0.087
Rh 0.000 0.750 0.409
Tb 0.750 0.427 0.750
Tb 0.750 0.927 0.250
Pr 0.743 0.410 0.413
Pr 0.257 0.090 0.413
Pr 0.243 0.590 0.913
Pr 0.257 0.590 0.587
Tb 0.250 0.573 0.250

## Properties
N(E_F)	3.712	states/eV/f.u.
relative energy among the computed polymorphs	0.083	eV/atom
space-group type	Pnna
energy relative to the elements	-0.35	eV per atom

---

[3]
Below is a relaxed structure of Ac5Nd4Er2, with properties calculated at the GGA-PBE level.

a b c (Å): 3.692 12.518 15.945
angles (deg): 143.87 90.00 90.00
Fractional positions:
Ac 0.000 0.500 0.000
Er 0.000 0.034 0.656
Ac 0.000 0.225 0.198
Er 0.000 0.966 0.344
Ac 0.000 0.775 0.802
Nd 0.500 0.843 0.076
Ac 0.000 0.611 0.289
Nd 0.500 0.315 0.461
Nd 0.500 0.685 0.539
Ac 0.000 0.389 0.711
Nd 0.500 0.157 0.924

## Properties
N(E_F)	20.048	states/eV/f.u.
space-group type	P2/m
energy relative to the elements	0.16	eV per atom